1.
This record from Alexandria via LeMat-Bulk describes a geometry-optimized LaSc2Sb2 structure. The functional is PBE.

Calculated values
symmetry	I4/mmm (139)
ΔE to the lowest computed polymorph	245	meV per atom

a b c (Å): 6.2050 6.2050 6.2050
angles (deg): 127.43 127.43 77.54
With the nearest neighbours (Å) after each atom.
Sites, in units of the cell vectors:
La1 0.0000 0.0000 0.0000  2 Sc 3.28, 8 Sb 3.66
Sc1 0.3390 0.3390 0.0000  4 Sb 2.88, 1 Sc 3.12
Sc2 0.6610 0.6610 0.0000  4 Sb 2.88, 1 Sc 3.12
Sb1 0.2500 0.7500 0.5000  4 Sc 2.88
Sb2 0.7500 0.2500 0.5000  4 Sc 2.88

=====

2.
This record from Alexandria via LeMat-Bulk describes a geometry-optimized AcSb3Ru3 structure. The functional is PBE.

Calculated values
symmetry	Pm-3n (223)

a b c (Å): 7.1830 7.1830 7.1830
angles (deg): 90.00 90.00 90.00
With the nearest neighbours (Å) after each atom.
Sites, in units of the cell vectors:
Ac1 0.0000 0.0000 0.0000  12 Sb 4.02, 12 Ru 4.02
Ac2 0.5000 0.5000 0.5000  12 Sb 4.02, 12 Ru 4.02
Sb1 0.0000 0.2500 0.5000  4 Ru 2.54
Sb2 0.0000 0.7500 0.5000  4 Ru 2.54
Sb3 0.2500 0.5000 0.0000  4 Ru 2.54
Sb4 0.5000 0.0000 0.2500  4 Ru 2.54
Sb5 0.5000 0.0000 0.7500  4 Ru 2.54
Sb6 0.7500 0.5000 0.0000  4 Ru 2.54
Ru1 0.0000 0.5000 0.2500  4 Sb 2.54
Ru2 0.0000 0.5000 0.7500  4 Sb 2.54
Ru3 0.2500 0.0000 0.5000  4 Sb 2.54
Ru4 0.5000 0.2500 0.0000  4 Sb 2.54
Ru5 0.5000 0.7500 0.0000  4 Sb 2.54
Ru6 0.7500 0.0000 0.5000  4 Sb 2.54

=====

3.
This record from Alexandria via LeMat-Bulk describes a geometry-optimized Hf3TcW structure. The functional is PBE.

Calculated values
energy of formation	1063	meV per atom
symmetry	Pm-3m (221)
ΔE to the lowest computed polymorph	0	meV per atom

a b c (Å): 4.8597 4.8597 4.8597
angles (deg): 90.00 90.00 90.00
With the nearest neighbours (Å) after each atom.
Sites, in units of the cell vectors:
Hf1 0.0000 0.0000 0.5000  2 Tc 2.43
Hf2 0.0000 0.5000 0.0000  2 Tc 2.43
Hf3 0.5000 0.0000 0.0000  2 Tc 2.43
Tc1 0.0000 0.0000 0.0000  6 Hf 2.43
W1 0.5000 0.5000 0.5000  12 Hf 3.44

=====

4.
This record from Alexandria via LeMat-Bulk describes a geometry-optimized In2PbSe2 structure. The functional is PBE.

Calculated values
symmetry	P4/mbm (127)
ΔE to the lowest computed polymorph	0	meV per atom

a b c (Å): 8.4042 8.4042 3.9503
angles (deg): 90.00 90.00 90.00
With the nearest neighbours (Å) after each atom.
Sites, in units of the cell vectors:
In1 0.1363 0.3637 0.0000  2 Se 2.95, 1 In 3.24
In2 0.3637 0.8637 0.0000  2 Se 2.95, 1 In 3.24
In3 0.6363 0.1363 0.0000  2 Se 2.95, 1 In 3.24
In4 0.8637 0.6363 0.0000  2 Se 2.95, 1 In 3.24
Pb1 0.0000 0.0000 0.5000  4 Se 3.09
Pb2 0.5000 0.5000 0.5000  4 Se 3.09
Se1 0.1793 0.6793 0.5000  2 In 2.95, 2 Pb 3.09
Se2 0.3207 0.1793 0.5000  2 In 2.95, 2 Pb 3.09
Se3 0.6793 0.8207 0.5000  2 In 2.95, 2 Pb 3.09
Se4 0.8207 0.3207 0.5000  2 In 2.95, 2 Pb 3.09

=====

5.
This record from Alexandria via LeMat-Bulk describes a geometry-optimized Cs2PrMg3H12 structure. The functional is PBE.

Calculated values
symmetry	R-3m (166)

a b c (Å): 6.8348 6.8348 6.8348
angles (deg): 66.72 66.72 66.72
With the nearest neighbours (Å) after each atom.
Sites, in units of the cell vectors:
Cs1 0.1093 0.1093 0.1093  3 H 2.69
Cs2 0.8907 0.8907 0.8907  3 H 2.69
Pr1 0.5000 0.5000 0.5000  6 H 2.34
Mg1 0.0000 0.5000 0.5000  6 H 1.90-1.99
Mg2 0.5000 0.0000 0.5000  6 H 1.90-1.99
Mg3 0.5000 0.5000 0.0000  6 H 1.90-1.99
H1 0.1124 0.6233 0.6233  1 Mg 1.90
H2 0.2457 0.2457 0.5974  2 Mg 1.99
H3 0.2457 0.5974 0.2457  2 Mg 1.99
H4 0.3767 0.3767 0.8876  1 Mg 1.90
H5 0.3767 0.8876 0.3767  1 Mg 1.90
H6 0.4026 0.7543 0.7543  2 Mg 1.99
H7 0.5974 0.2457 0.2457  2 Mg 1.99
H8 0.6233 0.1124 0.6233  1 Mg 1.90
H9 0.6233 0.6233 0.1124  1 Mg 1.90
H10 0.7543 0.4026 0.7543  2 Mg 1.99
H11 0.7543 0.7543 0.4026  2 Mg 1.99
H12 0.8876 0.3767 0.3767  1 Mg 1.90

=====

6.
This record from Alexandria via LeMat-Bulk describes a geometry-optimized BaZr2Cl structure. The functional is PBE.

Calculated values
symmetry	Cmmm (65)
ΔE to the lowest computed polymorph	442	meV per atom

a b c (Å): 3.3556 3.3556 10.7687
angles (deg): 90.00 90.00 120.92
With the nearest neighbours (Å) after each atom.
Sites, in units of the cell vectors:
Ba1 0.0000 0.0000 0.0000  6 Ba 3.31-3.36, 4 Zr 3.56
Zr1 0.5000 0.5000 0.2929  2 Cl 2.78
Zr2 0.5000 0.5000 0.7071  2 Cl 2.78
Cl1 0.0000 0.0000 0.5000  4 Zr 2.78

=====

7.
This record from Alexandria via LeMat-Bulk describes a geometry-optimized K3Os structure. The functional is PBE.

Calculated values
energy of formation	1336	meV per atom
symmetry	I4/mmm (139)
ΔE to the lowest computed polymorph	102	meV per atom

a b c (Å): 5.8363 5.8363 5.8363
angles (deg): 119.60 119.60 90.70
With the nearest neighbours (Å) after each atom.
Sites, in units of the cell vectors:
K1 0.0000 0.0000 0.0000  8 K 3.58
K2 0.2500 0.7500 0.5000  4 Os 3.58, 4 K 3.58
K3 0.7500 0.2500 0.5000  4 Os 3.58, 4 K 3.58
Os1 0.5000 0.5000 0.0000  8 K 3.58

=====

8.
This record from Alexandria via LeMat-Bulk describes a geometry-optimized Be2AuSe structure. The functional is PBE.

Calculated values
symmetry	F-43m (216)

a b c (Å): 4.4386 4.4386 4.4386
angles (deg): 60.00 60.00 60.00
With the nearest neighbours (Å) after each atom.
Sites, in units of the cell vectors:
Be1 0.0000 0.0000 0.0000  4 Se 2.72, 4 Be 2.72
Be2 0.2500 0.2500 0.2500  4 Au 2.72, 4 Be 2.72
Au1 0.5000 0.5000 0.5000  4 Se 2.72, 4 Be 2.72
Se1 0.7500 0.7500 0.7500  4 Be 2.72, 4 Au 2.72

=====

9.
This record from Alexandria via LeMat-Bulk describes a geometry-optimized TaMnC3 structure. The functional is PBE.

Calculated values
energy of formation	1579	meV per atom
symmetry	Pm-3m (221)
ΔE to the lowest computed polymorph	0	meV per atom

a b c (Å): 3.6979 3.6979 3.6979
angles (deg): 90.00 90.00 90.00
With the nearest neighbours (Å) after each atom.
Sites, in units of the cell vectors:
Ta1 0.0000 0.0000 0.0000  12 C 2.61
Mn1 0.5000 0.5000 0.5000  6 C 1.85
C1 0.0000 0.5000 0.5000  2 Mn 1.85
C2 0.5000 0.0000 0.5000  2 Mn 1.85
C3 0.5000 0.5000 0.0000  2 Mn 1.85

=====

10.
This record from Alexandria via LeMat-Bulk describes a geometry-optimized ThNpSi4 structure. The functional is PBE.

Calculated values
symmetry	Pbam (55)

a b c (Å): 7.0738 16.4751 3.9789
angles (deg): 90.00 90.00 90.00
With the nearest neighbours (Å) after each atom.
Sites, in units of the cell vectors:
Th1 0.0951 0.1829 0.0000  12 Si 3.06-3.20
Th2 0.4049 0.6829 0.0000  12 Si 3.06-3.20
Th3 0.5951 0.3171 0.0000  12 Si 3.06-3.20
Th4 0.9049 0.8171 0.0000  12 Si 3.06-3.20
Np1 0.0868 0.4371 0.0000  1 Np 2.41
Np2 0.4132 0.9371 0.0000  1 Np 2.41
Np3 0.5868 0.0629 0.0000  1 Np 2.41
Np4 0.9132 0.5629 0.0000  1 Np 2.41
Si1 0.0689 0.6843 0.5000  3 Si 2.31-2.40
Si2 0.0894 0.9339 0.5000  3 Si 2.32-2.52
Si3 0.2177 0.5539 0.5000  3 Si 2.39-2.64
Si4 0.2420 0.8095 0.5000  3 Si 2.31-2.40
Si5 0.2580 0.3095 0.5000  3 Si 2.31-2.40
Si6 0.2823 0.0539 0.5000  3 Si 2.39-2.64
Si7 0.4106 0.4339 0.5000  3 Si 2.32-2.52
Si8 0.4311 0.1843 0.5000  3 Si 2.31-2.40
Si9 0.5689 0.8157 0.5000  3 Si 2.31-2.40
Si10 0.5894 0.5661 0.5000  3 Si 2.32-2.52
Si11 0.7177 0.9461 0.5000  3 Si 2.39-2.64
Si12 0.7420 0.6905 0.5000  3 Si 2.31-2.40
Si13 0.7580 0.1905 0.5000  3 Si 2.31-2.40
Si14 0.7823 0.4461 0.5000  3 Si 2.39-2.64
Si15 0.9106 0.0661 0.5000  3 Si 2.32-2.52
Si16 0.9311 0.3157 0.5000  3 Si 2.31-2.40

=====

11.
This record from Alexandria via LeMat-Bulk describes a geometry-optimized TaIn2Ir structure. The functional is PBE.

Calculated values
energy of formation	488	meV per atom
symmetry	I-42d (122)
ΔE to the lowest computed polymorph	615	meV per atom

a b c (Å): 6.1024 6.1024 6.1024
angles (deg): 101.96 101.96 125.84
With the nearest neighbours (Å) after each atom.
Sites, in units of the cell vectors:
Ta1 0.0000 0.0000 0.0000  2 Ir 2.78, 4 In 2.95
Ta2 0.7500 0.2500 0.5000  2 Ir 2.78, 4 In 2.95
In1 0.1512 0.6250 0.0262  2 Ir 2.67, 2 In 2.81, 2 Ta 2.95
In2 0.3750 0.4012 0.5262  2 Ir 2.67, 2 In 2.81, 2 Ta 2.95
In3 0.5988 0.1250 0.9738  2 Ir 2.67, 2 In 2.81, 2 Ta 2.95
In4 0.8750 0.8488 0.4738  2 Ir 2.67, 2 In 2.81, 2 Ta 2.95
Ir1 0.2500 0.7500 0.5000  4 In 2.67, 2 Ta 2.78
Ir2 0.5000 0.5000 0.0000  4 In 2.67, 2 Ta 2.78

=====

| no. | total DFT energy (no corrections) (eV/cell) | total moment (μB/cell) |
| --- | --- | --- |
| 1 | -28.790 | 2.44 |
| 2 | -87.447 | 0.00 |
| 3 | -47.864 | 0.00 |
| 4 | -34.669 | 0.00 |
| 5 | -54.534 | 0.00 |
| 6 | -20.341 | 0.00 |
| 7 | -9.180 | 1.61 |
| 8 | -11.276 | 0.00 |
| 9 | -40.796 | 0.00 |
| 10 | -176.228 | 5.78 |
| 11 | -48.479 | 0.00 |